A relaxed structure of CeCo4Tc, computed with PBE-GGA.

Lattice parameters (Å, degrees): 4.912 4.912 4.912 60.00 60.00 60.00
Element x y z (fractional)
1 Ce 0.000 0.000 0.000
2 Co 0.375 0.375 0.375
3 Co 0.375 0.375 0.874
4 Co 0.375 0.874 0.375
5 Co 0.874 0.375 0.375
6 Tc 0.750 0.750 0.750

* space group: No. 216
* DFT formation energy: 0.37 eV/f.u.
* magnetic moment: 1.124 μB/atom

---

A relaxed structure of Ca2PuGaN4, computed with PBE-GGA.

Lattice parameters (Å, degrees): 5.531 3.650 5.744 90.00 100.19 90.00
Element x y z (fractional)
1 Ca 0.000 0.000 0.000
2 Ca 0.500 0.500 0.000
3 Pu 0.000 0.500 0.500
4 Ga 0.500 0.000 0.500
5 N 0.198 0.500 0.251
6 N 0.277 0.000 0.713
7 N 0.723 0.000 0.287
8 N 0.802 0.500 0.749

* space group: No. 10
* magnetic moment: 0.375 μB/atom
* formation energy (no corrections): -0.843 eV/atom

---

A relaxed structure of Hf2ScCdP, computed with PBE-GGA.

Lattice parameters (Å, degrees): 5.010 5.010 5.170 90.00 90.00 90.00
Element x y z (fractional)
1 Hf 0.000 0.500 0.000
2 Hf 0.500 0.000 0.000
3 Sc 0.000 0.000 0.000
4 Cd 0.000 0.000 0.500
5 P 0.500 0.500 0.500

* space group: No. 123
* DFT formation energy: 7.08 eV/f.u.
* magnetic moment: 0.000 μB/atom

---

A relaxed structure of Cs2RbZnGa, computed with PBE-GGA.

Lattice parameters (Å, degrees): 7.669 7.669 4.834 90.00 90.00 90.00
Element x y z (fractional)
1 Cs 0.000 0.500 0.000
2 Cs 0.500 0.000 0.000
3 Rb 0.000 0.000 0.500
4 Zn 0.500 0.500 0.000
5 Ga 0.500 0.500 0.500

* space group: No. 123
* DFT formation energy: 0.72 eV/f.u.
* magnetic moment: 0.000 μB/atom

---

A relaxed structure of Li3GaF6, computed with PBE-GGA.

Lattice parameters (Å, degrees): 5.444 5.444 5.444 60.00 60.00 60.00
Element x y z (fractional)
1 Li 0.000 0.000 0.000
2 Li 0.250 0.250 0.250
3 Li 0.750 0.750 0.750
4 Ga 0.500 0.500 0.500
5 F 0.254 0.254 0.746
6 F 0.254 0.746 0.254
7 F 0.254 0.746 0.746
8 F 0.746 0.254 0.254
9 F 0.746 0.254 0.746
10 F 0.746 0.746 0.254

* energy above the lowest structure with this stoichiometry: 193 meV/atom
* space group: No. 225
* magnetic moment: 0.000 μB/atom
* formation energy (no corrections): -2.668 eV/atom

---

A relaxed structure of MnOsRh2, computed with PBE-GGA.

Lattice parameters (Å, degrees): 8.785 8.785 8.785 17.94 17.94 17.94
Element x y z (fractional)
1 Mn 0.000 0.000 0.000
2 Os 0.500 0.500 0.500
3 Rh 0.251 0.251 0.251
4 Rh 0.749 0.749 0.749

* energy above the lowest structure with this stoichiometry: 89 meV/atom
* space group: No. 166
* DFT formation energy: 0.27 eV/f.u.
* magnetic moment: 0.749 μB/atom

---

A relaxed structure of Ce3PmEr2P6, computed with PBE-GGA.

Lattice parameters (Å, degrees): 7.029 7.029 7.012 99.62 99.62 120.01
Element x y z (fractional)
1 Ce 0.000 0.000 0.000
2 Ce 0.334 0.666 0.000
3 Ce 0.666 0.334 0.000
4 Pm 0.500 0.500 0.500
5 Er 0.167 0.833 0.500
6 Er 0.833 0.167 0.500
7 P 0.078 0.417 0.252
8 P 0.243 0.243 0.747
9 P 0.417 0.078 0.252
10 P 0.583 0.922 0.748
11 P 0.757 0.757 0.253
12 P 0.922 0.583 0.748

* space group: No. 12
* DFT formation energy: -18.55 eV/f.u.
* magnetic moment: 0.123 μB/atom

---

A relaxed structure of ReAsW2, computed with PBE-GGA.

Lattice parameters (Å, degrees): 3.783 3.783 4.388 90.00 90.00 90.00
Element x y z (fractional)
1 Re 0.000 0.000 0.000
2 As 0.500 0.500 0.000
3 W 0.000 0.500 0.500
4 W 0.500 0.000 0.500

* space group: No. 123
* DFT formation energy: 2.46 eV/f.u.
* magnetic moment: 0.000 μB/atom

---

A relaxed structure of Co2MoAs, computed with PBE-GGA.

Lattice parameters (Å, degrees): 4.888 4.888 2.713 100.40 100.40 117.83
Element x y z (fractional)
1 Co 0.000 0.500 0.000
2 Co 0.500 0.000 0.000
3 Mo 0.000 0.000 0.500
4 As 0.500 0.500 0.500

* space group: No. 12
* DFT formation energy: 0.95 eV/f.u.
* magnetic moment: 0.658 μB/atom

---

A relaxed structure of MnTe2W, computed with PBE-GGA.

Lattice parameters (Å, degrees): 10.326 10.326 10.326 18.37 18.37 18.37
Element x y z (fractional)
1 Mn 0.000 0.000 0.000
2 Te 0.270 0.270 0.270
3 Te 0.461 0.461 0.461
4 W 0.731 0.731 0.731

* energy above the lowest structure with this stoichiometry: 191 meV/atom
* space group: No. 160
* magnetic moment: 0.767 μB/atom
* formation energy (no corrections): 0.274 eV/atom

---

A relaxed structure of Th4CoC2Se, computed with PBE-GGA.

Lattice parameters (Å, degrees): 6.815 3.825 6.988 90.00 107.19 90.00
Element x y z (fractional)
1 Th 0.222 0.000 0.219
2 Th 0.253 0.500 0.784
3 Th 0.747 0.500 0.216
4 Th 0.778 0.000 0.781
5 Co 0.000 0.000 0.500
6 C 0.000 0.500 0.000
7 C 0.500 0.000 0.000
8 Se 0.500 0.500 0.500

* space group: No. 10
* magnetic moment: 0.000 μB/atom
* formation energy (no corrections): -0.572 eV/atom

---

A relaxed structure of LaPuSe3, computed with PBE-GGA.

Lattice parameters (Å, degrees): 7.819 4.242 16.175 90.00 90.00 90.00
Element x y z (fractional)
1 La 0.135 0.250 0.202
2 La 0.365 0.750 0.702
3 La 0.635 0.250 0.298
4 La 0.865 0.750 0.798
5 Pu 0.228 0.750 0.460
6 Pu 0.272 0.250 0.960
7 Pu 0.728 0.750 0.040
8 Pu 0.772 0.250 0.540
9 Se 0.009 0.250 0.395
10 Se 0.127 0.750 0.063
11 Se 0.154 0.250 0.784
12 Se 0.346 0.750 0.284
13 Se 0.373 0.250 0.563
14 Se 0.491 0.750 0.895
15 Se 0.509 0.250 0.105
16 Se 0.627 0.750 0.437
17 Se 0.654 0.250 0.716
18 Se 0.846 0.750 0.216
19 Se 0.873 0.250 0.937
20 Se 0.991 0.750 0.605

* energy above the lowest structure with this stoichiometry: 0 meV/atom
* space group: No. 62
* magnetic moment: 1.000 μB/atom
* formation energy (no corrections): -1.758 eV/atom

---

Question: Which value of magnetic moment does entry 1 give?
Answer: 1.124 μB/atom